No. 1
# GGA-PBE MnRuSe2, relaxed
# Energy above the lowest structure with this stoichiometry, eV per atom: 0.877
# E_form (uncorrected), meV/atom: 588
data_MnRuSe2
_cell_length_a 6.451
_cell_length_b 6.451
_cell_length_c 6.451
_cell_angle_alpha 90.00
_cell_angle_beta 90.00
_cell_angle_gamma 90.00
_symmetry_space_group_name_H-M 'F -4 3 m'
_symmetry_Int_Tables_number 216
_symmetry_space_group_name_Hall 'F -4 2 3'
loop_
_atom_site_label
_atom_site_fract_x
_atom_site_fract_y
_atom_site_fract_z
Mn1 0.000 0.000 0.000
Ru1 0.250 0.250 0.750
Se1 0.000 0.000 0.500
Se2 0.250 0.250 0.250

No. 2
# GGA-PBE MnRuSe2, relaxed
# Energy above the lowest structure with this stoichiometry, eV per atom: 0.414
# E_form (uncorrected), meV/atom: 125
data_MnRuSe2
_cell_length_a 5.417
_cell_length_b 5.417
_cell_length_c 10.754
_cell_angle_alpha 90.00
_cell_angle_beta 90.00
_cell_angle_gamma 90.00
_symmetry_space_group_name_H-M 'I -4 2 d'
_symmetry_Int_Tables_number 122
_symmetry_space_group_name_Hall 'I -4 2bw'
loop_
_atom_site_label
_atom_site_fract_x
_atom_site_fract_y
_atom_site_fract_z
Mn1 0.000 0.000 0.000
Ru1 0.000 0.000 0.500
Se1 0.233 0.250 0.125

No. 3
# GGA-PBE MnRu2Se, relaxed
# E_form (uncorrected), meV/atom: 298
data_MnRu2Se
_cell_length_a 2.8658
_cell_length_b 2.8658
_cell_length_c 24.3972
_cell_angle_alpha 90.00
_cell_angle_beta 90.00
_cell_angle_gamma 120.00
_symmetry_space_group_name_H-M 'R 3 m'
_symmetry_Int_Tables_number 160
_symmetry_space_group_name_Hall 'R 3 -2"'
loop_
_atom_site_label
_atom_site_fract_x
_atom_site_fract_y
_atom_site_fract_z
Mn1 0.0000 0.0000 0.0000
Ru1 0.0000 0.0000 0.2493
Ru2 0.0000 0.0000 0.4968
Se1 0.0000 0.0000 0.7465

No. 4
# GGA-PBE MnRuSe, relaxed
# Energy above the lowest structure with this stoichiometry, eV per atom: 0.153
# E_form (uncorrected), meV/atom: 181
data_MnRuSe
_cell_length_a 3.047
_cell_length_b 3.047
_cell_length_c 9.952
_cell_angle_alpha 90.00
_cell_angle_beta 90.00
_cell_angle_gamma 90.00
_symmetry_space_group_name_H-M 'I 4 m m'
_symmetry_Int_Tables_number 107
_symmetry_space_group_name_Hall 'I 4 -2'
loop_
_atom_site_label
_atom_site_fract_x
_atom_site_fract_y
_atom_site_fract_z
Mn1 0.000 0.000 0.000
Ru1 0.000 0.000 0.672
Se1 0.000 0.000 0.317

No. 5
# GGA-PBE MnRu2Se, relaxed
# E_form (uncorrected), meV/atom: 227
data_MnRu2Se
_cell_length_a 2.995
_cell_length_b 4.311
_cell_length_c 8.825
_cell_angle_alpha 90.00
_cell_angle_beta 90.00
_cell_angle_gamma 90.00
_symmetry_space_group_name_H-M 'I m m 2'
_symmetry_Int_Tables_number 44
loop_
_symmetry_equiv_pos_as_xyz
'x,y,z'
'-x,-y,z'
'-x,y,z'
'x,-y,z'
'x+1/2,y+1/2,z+1/2'
'-x+1/2,-y+1/2,z+1/2'
'-x+1/2,y+1/2,z+1/2'
'x+1/2,-y+1/2,z+1/2'
loop_
_atom_site_label
_atom_site_fract_x
_atom_site_fract_y
_atom_site_fract_z
Mn1 0.000 0.000 0.000
Ru1 0.000 0.000 0.542
Ru2 0.000 0.500 0.771
Se1 0.000 0.500 0.267

No. 6
# GGA-PBE Mn3RuSe, relaxed
# Energy above the lowest structure with this stoichiometry, eV per atom: 0.289
# E_form (uncorrected), meV/atom: 1294
data_Mn3RuSe
_cell_length_a 4.229
_cell_length_b 4.229
_cell_length_c 4.229
_cell_angle_alpha 90.00
_cell_angle_beta 90.00
_cell_angle_gamma 90.00
_symmetry_space_group_name_H-M 'P m -3 m'
_symmetry_Int_Tables_number 221
_symmetry_space_group_name_Hall '-P 4 2 3'
loop_
_atom_site_label
_atom_site_fract_x
_atom_site_fract_y
_atom_site_fract_z
Mn1 0.000 0.000 0.500
Ru1 0.500 0.500 0.500
Se1 0.000 0.000 0.000

No. 7
# GGA-PBE MnRu2Se, relaxed
# E_form (uncorrected), meV/atom: 237
data_MnRu2Se
_cell_length_a 2.941
_cell_length_b 3.810
_cell_length_c 5.239
_cell_angle_alpha 90.00
_cell_angle_beta 90.00
_cell_angle_gamma 90.00
_symmetry_space_group_name_H-M 'P m m 2'
_symmetry_Int_Tables_number 25
loop_
_symmetry_equiv_pos_as_xyz
'x,y,z'
'-x,-y,z'
'-x,y,z'
'x,-y,z'
loop_
_atom_site_label
_atom_site_fract_x
_atom_site_fract_y
_atom_site_fract_z
Mn1 0.000 0.000 0.000
Ru1 0.000 0.000 0.486
Ru2 0.500 0.500 0.192
Se1 0.500 0.500 0.686

No. 8
# GGA-PBE MnRuSe, relaxed
# Energy above the lowest structure with this stoichiometry, eV per atom: 0.269
# E_form (uncorrected), meV/atom: 297
data_MnRuSe
_cell_length_a 2.8556
_cell_length_b 2.8556
_cell_length_c 5.9260
_cell_angle_alpha 90.00
_cell_angle_beta 90.00
_cell_angle_gamma 120.00
_symmetry_space_group_name_H-M 'P 3 m 1'
_symmetry_Int_Tables_number 156
loop_
_symmetry_equiv_pos_as_xyz
'x,y,z'
'-y,x-y,z'
'-x+y,-x,z'
'-y,-x,z'
'-x+y,y,z'
'x,x-y,z'
loop_
_atom_site_label
_atom_site_fract_x
_atom_site_fract_y
_atom_site_fract_z
Mn1 0.0000 0.0000 0.0000
Ru1 0.6667 0.3333 0.3224
Se1 0.3333 0.6667 0.6941

No. 9
# GGA-PBE MnRu3Se, relaxed
# Energy above the lowest structure with this stoichiometry, eV per atom: 0.136
# E_form (uncorrected), meV/atom: 1474
data_MnRu3Se
_cell_length_a 4.469
_cell_length_b 4.469
_cell_length_c 4.469
_cell_angle_alpha 90.00
_cell_angle_beta 90.00
_cell_angle_gamma 90.00
_symmetry_space_group_name_H-M 'P m -3 m'
_symmetry_Int_Tables_number 221
_symmetry_space_group_name_Hall '-P 4 2 3'
loop_
_atom_site_label
_atom_site_fract_x
_atom_site_fract_y
_atom_site_fract_z
Mn1 0.000 0.000 0.000
Ru1 0.000 0.500 0.500
Se1 0.500 0.500 0.500

No. 10
# GGA-PBE MnRu2Se, relaxed
# E_form (uncorrected), meV/atom: 253
data_MnRu2Se
_cell_length_a 2.944
_cell_length_b 4.382
_cell_length_c 9.021
_cell_angle_alpha 90.00
_cell_angle_beta 90.00
_cell_angle_gamma 90.00
_symmetry_space_group_name_H-M 'I m m m'
_symmetry_Int_Tables_number 71
_symmetry_space_group_name_Hall '-I 2 2'
loop_
_atom_site_label
_atom_site_fract_x
_atom_site_fract_y
_atom_site_fract_z
Mn1 0.000 0.000 0.000
Ru1 0.000 0.500 0.222
Se1 0.000 0.000 0.500

No. 11
# GGA-PBE MnRuSe2, relaxed
# Energy above the lowest structure with this stoichiometry, eV per atom: 0.273
# E_form (uncorrected), meV/atom: -16
data_MnRuSe2
_cell_length_a 8.717
_cell_length_b 3.383
_cell_length_c 5.848
_cell_angle_alpha 90.00
_cell_angle_beta 99.89
_cell_angle_gamma 90.00
_symmetry_space_group_name_H-M 'C 1 m 1'
_symmetry_Int_Tables_number 8
loop_
_symmetry_equiv_pos_as_xyz
'x,y,z'
'x,-y,z'
'x+1/2,y+1/2,z'
'x+1/2,-y+1/2,z'
loop_
_atom_site_label
_atom_site_fract_x
_atom_site_fract_y
_atom_site_fract_z
Mn1 0.000 0.000 0.000
Ru1 0.271 0.000 0.886
Se1 0.025 0.500 0.697
Se2 0.274 0.500 0.187

No. 12
# GGA-PBE Mn3RuSe, relaxed
# Energy above the lowest structure with this stoichiometry, eV per atom: 0.000
# E_form (uncorrected), meV/atom: 1005
data_Mn3RuSe
_cell_length_a 4.746
_cell_length_b 4.746
_cell_length_c 4.746
_cell_angle_alpha 90.00
_cell_angle_beta 90.00
_cell_angle_gamma 90.00
_symmetry_space_group_name_H-M 'P m -3 m'
_symmetry_Int_Tables_number 221
_symmetry_space_group_name_Hall '-P 4 2 3'
loop_
_atom_site_label
_atom_site_fract_x
_atom_site_fract_y
_atom_site_fract_z
Mn1 0.000 0.000 0.500
Ru1 0.000 0.000 0.000
Se1 0.500 0.500 0.500

No. 13
# GGA-PBE MnRuSe2, relaxed
# Energy above the lowest structure with this stoichiometry, eV per atom: 0.249
# E_form (uncorrected), meV/atom: -41
data_MnRuSe2
_cell_length_a 3.2256
_cell_length_b 3.2256
_cell_length_c 26.5553
_cell_angle_alpha 90.00
_cell_angle_beta 90.00
_cell_angle_gamma 120.00
_symmetry_space_group_name_H-M 'R 3 m'
_symmetry_Int_Tables_number 160
_symmetry_space_group_name_Hall 'R 3 -2"'
loop_
_atom_site_label
_atom_site_fract_x
_atom_site_fract_y
_atom_site_fract_z
Mn1 0.0000 0.0000 0.0000
Ru1 0.0000 0.0000 0.2547
Se1 0.0000 0.0000 0.5297
Se2 0.0000 0.0000 0.7261

No. 14
# GGA-PBE MnRuSe2, relaxed
# Energy above the lowest structure with this stoichiometry, eV per atom: 0.503
# E_form (uncorrected), meV/atom: 213
data_MnRuSe2
_cell_length_a 4.495
_cell_length_b 3.735
_cell_length_c 4.665
_cell_angle_alpha 90.00
_cell_angle_beta 104.55
_cell_angle_gamma 90.00
_symmetry_space_group_name_H-M 'P 1 2/m 1'
_symmetry_Int_Tables_number 10
loop_
_symmetry_equiv_pos_as_xyz
'x,y,z'
'-x,-y,-z'
'-x,y,-z'
'x,-y,z'
loop_
_atom_site_label
_atom_site_fract_x
_atom_site_fract_y
_atom_site_fract_z
Mn1 0.000 0.000 0.000
Ru1 0.500 0.000 0.500
Se1 0.293 0.500 0.734

No. 15
# GGA-PBE MnRuSe2, relaxed
# Energy above the lowest structure with this stoichiometry, eV per atom: 0.143
# E_form (uncorrected), meV/atom: -146
data_MnRuSe2
_cell_length_a 3.400
_cell_length_b 3.400
_cell_length_c 6.678
_cell_angle_alpha 90.00
_cell_angle_beta 90.00
_cell_angle_gamma 90.00
_symmetry_space_group_name_H-M 'P 4 m m'
_symmetry_Int_Tables_number 99
loop_
_symmetry_equiv_pos_as_xyz
'x,y,z'
'-y,x,z'
'-x,-y,z'
'y,-x,z'
'-x,y,z'
'y,x,z'
'x,-y,z'
'-y,-x,z'
loop_
_atom_site_label
_atom_site_fract_x
_atom_site_fract_y
_atom_site_fract_z
Mn1 0.000 0.000 0.000
Ru1 0.500 0.500 0.232
Se1 0.000 0.000 0.374
Se2 0.500 0.500 0.862